(1)
Density functional theory data (PBE) for Li2Cu2Au after structural relaxation.

Unit cell a=3.5831 b=3.5831 c=6.3550 alpha=73.63 beta=73.63 gamma=90.00
With the nearest neighbours (Å) after each atom.
Fractional coordinates of all 5 atoms:
Au 0.0000 0.0000 0.0000  8 Cu 2.78
Cu 0.4014 0.4014 0.1972  1 Cu 2.30, 4 Li 2.51
Cu 0.5986 0.5986 0.8028  1 Cu 2.30, 4 Li 2.51
Li 0.7500 0.2500 0.5000  4 Cu 2.51, 4 Li 2.53
Li 0.2500 0.7500 0.5000  4 Cu 2.51, 4 Li 2.53

(2)
Density functional theory data (PBE) for Li2Cu2Au after structural relaxation.

Unit cell a=6.7547 b=6.7547 c=3.1368 alpha=90.00 beta=90.00 gamma=90.00
With the nearest neighbours (Å) after each atom.
Fractional coordinates of all 10 atoms:
Au 0.0000 0.0000 0.0000  4 Cu 2.67, 8 Li 2.95
Au 0.5000 0.5000 0.0000  4 Cu 2.67, 8 Li 2.95
Cu 0.3740 0.8740 0.0000  1 Cu 2.41, 6 Li 2.48-2.58, 2 Au 2.67
Cu 0.8740 0.6260 0.0000  1 Cu 2.41, 6 Li 2.48-2.58, 2 Au 2.67
Cu 0.6260 0.1260 0.0000  1 Cu 2.41, 6 Li 2.48-2.58, 2 Au 2.67
Cu 0.1260 0.3740 0.0000  1 Cu 2.41, 6 Li 2.48-2.58, 2 Au 2.67
Li 0.1730 0.6730 0.5000  6 Cu 2.48-2.58
Li 0.6730 0.8270 0.5000  6 Cu 2.48-2.58
Li 0.8270 0.3270 0.5000  6 Cu 2.48-2.58
Li 0.3270 0.1730 0.5000  6 Cu 2.48-2.58

(3)
Density functional theory data (PBE) for Li2Cu2Au after structural relaxation.

Unit cell a=7.1128 b=7.1128 c=2.7050 alpha=90.00 beta=90.00 gamma=90.00
With the nearest neighbours (Å) after each atom.
Fractional coordinates of all 10 atoms:
Au 0.0000 0.0000 0.0000  4 Li 2.65, 2 Au 2.71
Au 0.5000 0.5000 0.0000  4 Li 2.65, 2 Au 2.71
Cu 0.1273 0.6273 0.5000  6 Li 2.48-2.50, 3 Cu 2.56-2.71
Cu 0.6273 0.8727 0.5000  6 Li 2.48-2.50, 3 Cu 2.56-2.71
Cu 0.8727 0.3727 0.5000  6 Li 2.48-2.50, 3 Cu 2.56-2.71
Cu 0.3727 0.1273 0.5000  6 Li 2.48-2.50, 3 Cu 2.56-2.71
Li 0.3339 0.8339 0.0000  6 Cu 2.48-2.50, 2 Au 2.65, 2 Li 2.71
Li 0.8339 0.6661 0.0000  6 Cu 2.48-2.50, 2 Au 2.65, 2 Li 2.71
Li 0.6661 0.1661 0.0000  6 Cu 2.48-2.50, 2 Au 2.65, 2 Li 2.71
Li 0.1661 0.3339 0.0000  6 Cu 2.48-2.50, 2 Au 2.65, 2 Li 2.71

Tell me which of them is the most stable. Sure, it is (2).

(1)
Density functional theory data (PBE) for LiCu6Au12 after structural relaxation.

Unit cell a=7.1386 b=7.1386 c=7.1386 alpha=102.53 beta=102.53 gamma=102.53
With the nearest neighbours (Å) after each atom.
Fractional coordinates of all 19 atoms:
Li 0.0000 0.0000 0.0000  6 Au 2.70
Cu 0.7380 0.8161 0.5625  2 Cu 2.50, 4 Au 2.60-2.71
Cu 0.4375 0.2620 0.1839  2 Cu 2.50, 4 Au 2.60-2.71
Cu 0.1839 0.4375 0.2620  2 Cu 2.50, 4 Au 2.60-2.71
Cu 0.2620 0.1839 0.4375  2 Cu 2.50, 4 Au 2.60-2.71
Cu 0.5625 0.7380 0.8161  2 Cu 2.50, 4 Au 2.60-2.71
Cu 0.8161 0.5625 0.7380  2 Cu 2.50, 4 Au 2.60-2.71
Au 0.8206 0.4735 0.3601  4 Cu 2.64-2.88, 5 Au 2.78-2.84
Au 0.3601 0.8206 0.4735  4 Cu 2.64-2.88, 5 Au 2.78-2.84
Au 0.4735 0.3601 0.8206  4 Cu 2.64-2.88, 5 Au 2.78-2.84
Au 0.1794 0.5265 0.6399  4 Cu 2.64-2.88, 5 Au 2.78-2.84
Au 0.6399 0.1794 0.5265  4 Cu 2.64-2.88, 5 Au 2.78-2.84
Au 0.5265 0.6399 0.1794  4 Cu 2.64-2.88, 5 Au 2.78-2.84
Au 0.9742 0.8542 0.3152  2 Cu 2.60-2.71, 1 Li 2.70, 5 Au 2.81-2.88
Au 0.1458 0.6848 0.0258  2 Cu 2.60-2.71, 1 Li 2.70, 5 Au 2.81-2.88
Au 0.6848 0.0258 0.1458  2 Cu 2.60-2.71, 1 Li 2.70, 5 Au 2.81-2.88
Au 0.0258 0.1458 0.6848  2 Cu 2.60-2.71, 1 Li 2.70, 5 Au 2.81-2.88
Au 0.8542 0.3152 0.9742  2 Cu 2.60-2.71, 1 Li 2.70, 5 Au 2.81-2.88
Au 0.3152 0.9742 0.8542  2 Cu 2.60-2.71, 1 Li 2.70, 5 Au 2.81-2.88

(2)
Density functional theory data (PBE) for LiCu6Au12 after structural relaxation.

Unit cell a=6.9523 b=7.4994 c=7.4994 alpha=69.10 beta=72.00 gamma=108.00
With the nearest neighbours (Å) after each atom.
Fractional coordinates of all 19 atoms:
Li 0.0000 0.0000 0.0000  12 Au 2.87-2.88
Cu 0.4232 0.4679 0.2149  9 Au 2.72-2.99, 3 Cu 2.80-2.86
Cu 0.0447 0.6828 0.5321  9 Au 2.72-2.99, 3 Cu 2.80-2.86
Cu 0.3619 0.7851 0.6828  9 Au 2.72-2.99, 3 Cu 2.80-2.86
Cu 0.5768 0.5321 0.7851  9 Au 2.72-2.99, 3 Cu 2.80-2.86
Cu 0.9553 0.3172 0.4679  9 Au 2.72-2.99, 3 Cu 2.80-2.86
Cu 0.6381 0.2149 0.3172  9 Au 2.72-2.99, 3 Cu 2.80-2.86
Au 0.5266 0.8558 0.2706  4 Cu 2.72-2.99, 7 Au 2.78-2.95, 1 Li 2.87
Au 0.6709 0.8736 0.8558  4 Cu 2.72-2.99, 7 Au 2.78-2.95, 1 Li 2.87
Au 0.7972 0.2706 0.8736  4 Cu 2.72-2.99, 7 Au 2.78-2.95, 1 Li 2.87
Au 0.4734 0.1442 0.7294  4 Cu 2.72-2.99, 7 Au 2.78-2.95, 1 Li 2.87
Au 0.3291 0.1264 0.1442  4 Cu 2.72-2.99, 7 Au 2.78-2.95, 1 Li 2.87
Au 0.2028 0.7294 0.1264  4 Cu 2.72-2.99, 7 Au 2.78-2.95, 1 Li 2.87
Au 0.2645 0.4285 0.6255  5 Cu 2.77-2.82, 6 Au 2.78-2.95, 1 Li 2.88
Au 0.1100 0.3745 0.0540  5 Cu 2.77-2.82, 6 Au 2.78-2.95, 1 Li 2.88
Au 0.1641 0.0540 0.5715  5 Cu 2.77-2.82, 6 Au 2.78-2.95, 1 Li 2.88
Au 0.7355 0.5715 0.3745  5 Cu 2.77-2.82, 6 Au 2.78-2.95, 1 Li 2.88
Au 0.8900 0.6255 0.9460  5 Cu 2.77-2.82, 6 Au 2.78-2.95, 1 Li 2.88
Au 0.8359 0.9460 0.4285  5 Cu 2.77-2.82, 6 Au 2.78-2.95, 1 Li 2.88

Tell me which of them is the most stable. Sure, it is (2).

(1)
Density functional theory data (PBE) for LiCu3Au6 after structural relaxation.

Unit cell a=4.1177 b=8.4936 c=9.1368 alpha=94.67 beta=90.00 gamma=90.00
With the nearest neighbours (Å) after each atom.
Fractional coordinates of all 20 atoms:
Li 0.2500 0.9465 0.6029  10 Au 2.83-2.90, 2 Li 2.98
Li 0.7500 0.0535 0.3971  10 Au 2.83-2.90, 2 Li 2.98
Cu 0.2500 0.5503 0.3956  8 Au 2.66-2.77, 2 Cu 2.95
Cu 0.7500 0.4497 0.6044  8 Au 2.66-2.77, 2 Cu 2.95
Cu 0.2500 0.3510 0.8085  8 Au 2.68-2.74, 4 Cu 2.93-2.95
Cu 0.7500 0.6490 0.1915  8 Au 2.68-2.74, 4 Cu 2.93-2.95
Cu 0.2500 0.7475 0.9903  10 Au 2.74-2.94, 2 Cu 2.93
Cu 0.7500 0.2525 0.0097  10 Au 2.74-2.94, 2 Cu 2.93
Au 0.2500 0.4572 0.0998  7 Cu 2.72-2.78, 5 Au 2.87-2.96
Au 0.7500 0.5428 0.9002  7 Cu 2.72-2.78, 5 Au 2.87-2.96
Au 0.2500 0.1510 0.2122  2 Li 2.83, 8 Au 2.83-2.88, 2 Cu 2.94
Au 0.7500 0.8490 0.7878  2 Li 2.83, 8 Au 2.83-2.88, 2 Cu 2.94
Au 0.2500 0.6327 0.6888  5 Cu 2.66-2.85, 1 Li 2.84, 6 Au 2.86-2.97
Au 0.7500 0.3673 0.3112  5 Cu 2.66-2.85, 1 Li 2.84, 6 Au 2.86-2.97
Au 0.2500 0.2612 0.5152  4 Cu 2.69-2.77, 5 Au 2.85-2.97, 3 Li 2.85-2.86
Au 0.7500 0.7388 0.4848  4 Cu 2.69-2.77, 5 Au 2.85-2.97, 3 Li 2.85-2.86
Au 0.2500 0.8368 0.2941  4 Cu 2.67-2.82, 5 Au 2.83-2.92, 3 Li 2.87-2.90
Au 0.7500 0.1632 0.7059  4 Cu 2.67-2.82, 5 Au 2.83-2.92, 3 Li 2.87-2.90
Au 0.2500 0.0610 0.9038  4 Cu 2.68-2.84, 1 Li 2.84, 7 Au 2.86-2.95
Au 0.7500 0.9390 0.0962  4 Cu 2.68-2.84, 1 Li 2.84, 7 Au 2.86-2.95

(2)
Density functional theory data (PBE) for LiCu3Au6 after structural relaxation.

Unit cell a=7.4791 b=6.7168 c=6.9976 alpha=90.00 beta=103.44 gamma=90.00
With the nearest neighbours (Å) after each atom.
Fractional coordinates of all 20 atoms:
Li 0.5000 0.5000 0.5000  4 Au 2.65-2.91
Li 0.0000 0.0000 0.0000  4 Au 2.65-2.91
Cu 0.5488 0.8311 0.8051  8 Au 2.66-2.86, 1 Cu 2.68
Cu 0.5000 0.5000 0.0000  6 Au 2.60-2.73, 2 Cu 2.68
Cu 0.4512 0.1689 0.1949  8 Au 2.66-2.86, 1 Cu 2.68
Cu 0.0488 0.6689 0.3051  8 Au 2.66-2.86, 1 Cu 2.68
Cu 0.0000 0.0000 0.5000  6 Au 2.60-2.73, 2 Cu 2.68
Cu 0.9512 0.3311 0.6949  8 Au 2.66-2.86, 1 Cu 2.68
Au 0.6825 0.1929 0.9228  3 Cu 2.60-2.86, 1 Li 2.65, 4 Au 2.70-2.87
Au 0.6724 0.0883 0.5475  4 Cu 2.62-2.80, 5 Au 2.70-2.92
Au 0.7803 0.3727 0.2996  4 Cu 2.73-2.82, 5 Au 2.82-2.96, 1 Li 2.91
Au 0.2197 0.6273 0.7004  4 Cu 2.73-2.82, 5 Au 2.82-2.96, 1 Li 2.91
Au 0.3276 0.9117 0.4525  4 Cu 2.62-2.80, 5 Au 2.70-2.92
Au 0.3175 0.8071 0.0772  3 Cu 2.60-2.86, 1 Li 2.65, 4 Au 2.70-2.87
Au 0.1825 0.3071 0.4228  3 Cu 2.60-2.86, 1 Li 2.65, 4 Au 2.70-2.87
Au 0.1724 0.4117 0.0475  4 Cu 2.62-2.80, 5 Au 2.70-2.92
Au 0.2803 0.1273 0.7996  4 Cu 2.73-2.82, 5 Au 2.82-2.96, 1 Li 2.91
Au 0.7197 0.8727 0.2004  4 Cu 2.73-2.82, 5 Au 2.82-2.96, 1 Li 2.91
Au 0.8276 0.5883 0.9525  4 Cu 2.62-2.80, 5 Au 2.70-2.92
Au 0.8175 0.6929 0.5772  3 Cu 2.60-2.86, 1 Li 2.65, 4 Au 2.70-2.87

Tell me which of them is the most stable. Sure, it is (1).

(1)
Density functional theory data (PBE) for Li6CuAu after structural relaxation.

Unit cell a=4.5088 b=5.6708 c=5.6708 alpha=119.97 beta=90.00 gamma=90.00
With the nearest neighbours (Å) after each atom.
Fractional coordinates of all 8 atoms:
Li 0.0000 0.0981 0.4238  8 Li 2.71-2.96, 2 Au 2.74, 2 Cu 2.83-2.84
Li 0.0000 0.5762 0.9019  8 Li 2.71-2.96, 2 Au 2.74, 2 Cu 2.83-2.84
Li 0.0000 0.5763 0.4237  8 Li 2.71-2.96, 2 Au 2.75, 2 Cu 2.84
Li 0.5000 0.4021 0.0762  8 Li 2.71-2.96, 2 Cu 2.75, 2 Au 2.84
Li 0.5000 0.9238 0.5979  8 Li 2.71-2.96, 2 Cu 2.75, 2 Au 2.84
Li 0.5000 0.9235 0.0765  8 Li 2.71-2.96, 2 Cu 2.75, 2 Au 2.84
Cu 0.0000 0.0831 0.9169  12 Li 2.75-2.84
Au 0.5000 0.4166 0.5834  12 Li 2.74-2.84

(2)
Density functional theory data (PBE) for Li6CuAu after structural relaxation.

Unit cell a=4.9031 b=4.9031 c=6.2850 alpha=104.02 beta=104.02 gamma=112.27
With the nearest neighbours (Å) after each atom.
Fractional coordinates of all 8 atoms:
Li 0.6128 0.1128 0.2256  3 Li 2.55-2.73, 2 Cu 2.76, 2 Au 2.76
Li 0.8872 0.3872 0.7744  3 Li 2.55-2.73, 2 Au 2.76, 2 Cu 2.76
Li 0.2515 0.2516 0.5031  10 Li 2.73-2.91, 1 Au 2.81, 1 Cu 2.85
Li 0.1128 0.6128 0.2256  3 Li 2.55-2.73, 2 Au 2.76, 2 Cu 2.76
Li 0.3872 0.8872 0.7744  3 Li 2.55-2.73, 2 Cu 2.76, 2 Au 2.76
Li 0.7485 0.7484 0.4969  10 Li 2.73-2.91, 1 Au 2.81, 1 Cu 2.85
Cu 0.0000 0.0000 0.0000  2 Au 2.73, 10 Li 2.76-2.85
Au 0.5000 0.5000 0.0000  2 Cu 2.73, 10 Li 2.76-2.81

Tell me which of them is the most stable. Sure, it is (1).

(1)
Density functional theory data (PBE) for LiCu3Au3 after structural relaxation.

Unit cell a=6.0175 b=6.0172 c=6.2330 alpha=90.00 beta=90.00 gamma=92.36
With the nearest neighbours (Å) after each atom.
Fractional coordinates of all 14 atoms:
Li 0.2812 0.2812 0.0000  6 Au 2.68-2.90, 2 Cu 2.93
Li 0.7188 0.7188 0.0000  6 Au 2.68-2.90, 2 Cu 2.93
Cu 0.3033 0.3033 0.5000  2 Cu 2.56, 4 Au 2.71
Cu 0.2741 0.7259 0.5000  2 Cu 2.56, 6 Au 2.61-2.77
Cu 0.7259 0.2741 0.5000  2 Cu 2.56, 6 Au 2.61-2.77
Cu 0.2354 0.7645 0.0000  6 Au 2.60-2.66
Cu 0.7646 0.2355 0.0000  6 Au 2.60-2.66
Cu 0.6967 0.6967 0.5000  2 Cu 2.56, 4 Au 2.71
Au 0.0000 0.0000 0.7271  6 Cu 2.66-2.90, 1 Au 2.83, 2 Li 2.90
Au 0.5000 0.0000 0.2486  6 Cu 2.60-2.71, 2 Li 2.68
Au 0.0000 0.5000 0.2486  6 Cu 2.60-2.71, 2 Li 2.68
Au 0.5000 0.0000 0.7514  6 Cu 2.60-2.71, 2 Li 2.68
Au 0.0000 0.5000 0.7514  6 Cu 2.60-2.71, 2 Li 2.68
Au 0.0000 0.0000 0.2729  6 Cu 2.66-2.90, 1 Au 2.83, 2 Li 2.90

(2)
Density functional theory data (PBE) for LiCu3Au3 after structural relaxation.

Unit cell a=4.6072 b=7.2704 c=7.2704 alpha=120.00 beta=90.00 gamma=90.00
With the nearest neighbours (Å) after each atom.
Fractional coordinates of all 14 atoms:
Li 0.2500 0.6667 0.3333  3 Au 2.62, 9 Cu 2.76-2.81
Li 0.7500 0.3333 0.6667  3 Au 2.62, 9 Cu 2.76-2.81
Cu 0.7500 0.8944 0.3744  5 Au 2.61-2.83, 4 Cu 2.65-2.86, 3 Li 2.76-2.81
Cu 0.7500 0.4800 0.1056  5 Au 2.61-2.83, 4 Cu 2.65-2.86, 3 Li 2.76-2.81
Cu 0.2500 0.3744 0.4800  5 Au 2.61-2.83, 4 Cu 2.65-2.86, 3 Li 2.76-2.81
Cu 0.7500 0.6256 0.5200  5 Au 2.61-2.83, 4 Cu 2.65-2.86, 3 Li 2.76-2.81
Cu 0.2500 0.5200 0.8944  5 Au 2.61-2.83, 4 Cu 2.65-2.86, 3 Li 2.76-2.81
Cu 0.2500 0.1056 0.6256  5 Au 2.61-2.83, 4 Cu 2.65-2.86, 3 Li 2.76-2.81
Au 0.7500 0.7383 0.9533  5 Cu 2.61-2.83, 1 Li 2.62, 4 Au 2.90
Au 0.7500 0.2150 0.2617  5 Cu 2.61-2.83, 1 Li 2.62, 4 Au 2.90
Au 0.2500 0.9533 0.2150  5 Cu 2.61-2.83, 1 Li 2.62, 4 Au 2.90
Au 0.7500 0.0467 0.7850  5 Cu 2.61-2.83, 1 Li 2.62, 4 Au 2.90
Au 0.2500 0.7850 0.7383  5 Cu 2.61-2.83, 1 Li 2.62, 4 Au 2.90
Au 0.2500 0.2617 0.0467  5 Cu 2.61-2.83, 1 Li 2.62, 4 Au 2.90

Tell me which of them is the most stable. Sure, it is (2).